Material: Ba2Tl2Pb
Method: DFT, PBE-GGA
State: optimized geometry

Unit cell a=7.022 b=7.022 c=12.745 alpha=113.96 beta=113.96 gamma=43.62
Sites, in units of the cell vectors:
Ba1 0.003 0.003 0.333
Ba2 0.184 0.184 0.111
Ba3 0.816 0.816 0.889
Ba4 0.997 0.997 0.667
Tl1 0.347 0.347 0.452
Tl2 0.462 0.462 0.107
Tl3 0.538 0.538 0.893
Tl4 0.653 0.653 0.548
Pb1 0.292 0.292 0.678
Pb2 0.708 0.708 0.322

## Properties
For the uncorrected energy, the calculation gives -2.873 eV/atom. The value obtained for the density of states at the Fermi level is 7.154 states/eV per cell. Its space group is No. 12. The value obtained for the energy above the most stable polymorph in this dataset is 0 meV/atom.